TbSb2Au2 PBE optimized geometry; raw total energy = -4.4013 eV per atom; formation energy without anion corrections = -0.52 eV/atom; crystal system = orthorhombic; SG = Cmcm (63); DOS at the Fermi energy = 3.28 states/eV/cell
1.0
4.422 0.000 0.000
0.000 4.425 0.000
-2.211 0.000 11.828
Tb Sb Au
2 4 4
direct
0.353 0.250 0.706 Tb
0.647 0.750 0.294 Tb
0.750 0.250 0.499 Sb
0.250 0.750 0.501 Sb
0.880 0.750 0.761 Sb
0.120 0.250 0.239 Sb
0.042 0.750 0.083 Au
0.458 0.750 0.916 Au
0.958 0.250 0.917 Au
0.542 0.250 0.084 Au